*1*
## MoPt4Rh (PBE)

Data for a geometry-optimized MoPt4Rh structure.

a b c (Å): 4.831 4.831 4.832
angles (deg): 80.22 80.22 120.07
Fractional coordinates of all 6 atoms:
Mo 0.498 0.003 0.001
Pt 0.336 0.165 0.501
Pt 0.661 0.840 0.501
Pt 0.833 0.668 0.001
Pt 0.163 0.338 0.001
Rh 0.998 0.503 0.501

Fermi-level density of states = 7.33 states/eV/f.u.
Space group = C2/m


*2*
## MoPt4Rh (PBE)

Data for a geometry-optimized MoPt4Rh structure.

a b c (Å): 5.172 5.172 5.172
angles (deg): 60.00 60.00 60.00
Fractional coordinates of all 6 atoms:
Mo 0.000 0.000 0.000
Pt 0.875 0.375 0.375
Pt 0.375 0.375 0.875
Pt 0.375 0.875 0.375
Pt 0.375 0.375 0.375
Rh 0.750 0.750 0.750

Fermi-level density of states = 4.32 states/eV/f.u.
Space group = F-43m


Of them, the most stable is *1* and the least stable is *2*.


*1*
## MoRu2Pt (PBE)

Data for a geometry-optimized MoRu2Pt structure.

a b c (Å): 4.397 4.397 4.397
angles (deg): 60.00 60.00 60.00
Fractional coordinates of all 4 atoms:
Ru 0.250 0.250 0.250
Ru 0.750 0.750 0.750
Mo 0.000 0.000 0.000
Pt 0.500 0.500 0.500

Fermi-level density of states = 4.96 states/eV/f.u.
Space group = Fm-3m


*2*
## MoRu2Pt (PBE)

Data for a geometry-optimized MoRu2Pt structure.

a b c (Å): 4.754 4.754 4.814
angles (deg): 80.16 80.16 33.56
Fractional coordinates of all 4 atoms:
Mo 0.750 0.750 0.750
Pt 0.250 0.250 0.250
Ru 0.005 0.005 0.988
Ru 0.495 0.495 0.512

Fermi-level density of states = 3.94 states/eV/f.u.
Space group = C2/m


Of them, the most stable is *2* and the least stable is *1*.


*1*
## MoRu2Pt (PBE)

Data for a geometry-optimized MoRu2Pt structure.

a b c (Å): 4.612 2.695 4.853
angles (deg): 88.29 90.00 90.00
Fractional coordinates of all 4 atoms:
Mo 0.500 0.250 0.250
Pt 0.500 0.750 0.750
Ru 0.000 0.996 0.992
Ru 0.000 0.504 0.508

Fermi-level density of states = 4.92 states/eV/f.u.
Space group = P2/m


*2*
## MoRu2Pt (PBE)

Data for a geometry-optimized MoRu2Pt structure.

a b c (Å): 4.778 4.778 4.778
angles (deg): 132.17 132.17 69.96
Fractional coordinates of all 4 atoms:
Ru 0.000 0.000 0.000
Ru 0.750 0.250 0.500
Mo 0.500 0.500 0.000
Pt 0.250 0.750 0.500

Fermi-level density of states = 3.67 states/eV/f.u.
Space group = I-4m2


Of them, the most stable is *2* and the least stable is *1*.


*1*
## MoRu2Pt (PBE)

Data for a geometry-optimized MoRu2Pt structure.

a b c (Å): 3.917 2.738 6.163
angles (deg): 63.62 90.00 90.00
Fractional coordinates of all 4 atoms:
Ru 0.000 0.976 0.024
Ru 0.500 0.263 0.238
Mo 0.000 0.511 0.488
Pt 0.500 0.750 0.750

Fermi-level density of states = 3.78 states/eV/f.u.
Space group = Pmm2


*2*
## MoRu2Pt (PBE)

Data for a geometry-optimized MoRu2Pt structure.

a b c (Å): 5.684 5.684 6.747
angles (deg): 65.09 65.09 90.00
Fractional coordinates of all 8 atoms:
Ru 0.619 0.125 0.250
Ru 0.131 0.625 0.250
Ru 0.375 0.381 0.750
Ru 0.875 0.869 0.750
Mo 0.500 0.500 0.000
Mo 0.250 0.750 0.500
Pt 0.000 0.000 0.000
Pt 0.750 0.250 0.500

Fermi-level density of states = 2.13 states/eV/f.u.
Space group = I-42d


Of them, the most stable is *1* and the least stable is *2*.


*1*
## MoRu2Pt (PBE)

Data for a geometry-optimized MoRu2Pt structure.

a b c (Å): 9.233 9.233 9.233
angles (deg): 17.10 17.10 17.10
Fractional coordinates of all 4 atoms:
Mo 0.250 0.250 0.250
Pt 0.750 0.750 0.750
Ru 0.998 0.998 0.998
Ru 0.502 0.502 0.502

Fermi-level density of states = 3.95 states/eV/f.u.
Space group = R-3m


*2*
## MoRu2Pt (PBE)

Data for a geometry-optimized MoRu2Pt structure.

a b c (Å): 2.731 2.731 7.951
angles (deg): 90.00 90.00 90.00
Fractional coordinates of all 4 atoms:
Mo 0.000 0.000 0.499
Pt 0.500 0.500 0.750
Ru 0.000 0.000 0.015
Ru 0.500 0.500 0.236

Fermi-level density of states = 3.71 states/eV/f.u.
Space group = P4mm


*3*
## MoRu2Pt (PBE)

Data for a geometry-optimized MoRu2Pt structure.

a b c (Å): 4.788 4.788 4.770
angles (deg): 80.59 80.59 33.26
Fractional coordinates of all 4 atoms:
Mo 0.498 0.498 0.504
Pt 0.250 0.250 0.253
Ru 0.005 0.005 0.981
Ru 0.747 0.747 0.761

Fermi-level density of states = 4.58 states/eV/f.u.
Space group = Cm


*4*
## MoRu2Pt (PBE)

Data for a geometry-optimized MoRu2Pt structure.

a b c (Å): 4.412 4.412 4.412
angles (deg): 60.00 60.00 60.00
Fractional coordinates of all 4 atoms:
Mo 0.500 0.500 0.500
Pt 0.250 0.250 0.250
Ru 0.000 0.000 0.000
Ru 0.750 0.750 0.750

Fermi-level density of states = 4.51 states/eV/f.u.
Space group = F-43m


Of them, the most stable is *2* and the least stable is *4*.


*1*
## MoRu2Pt (PBE)

Data for a geometry-optimized MoRu2Pt structure.

a b c (Å): 4.741 4.741 2.765
angles (deg): 90.00 90.00 108.46
Fractional coordinates of all 4 atoms:
Mo 0.500 0.000 0.500
Pt 0.000 0.500 0.500
Ru 0.000 0.000 0.000
Ru 0.500 0.500 0.000

Fermi-level density of states = 4.27 states/eV/f.u.
Space group = Cmmm


*2*
## MoRu2Pt (PBE)

Data for a geometry-optimized MoRu2Pt structure.

a b c (Å): 3.277 3.277 5.614
angles (deg): 90.00 90.00 90.00
Fractional coordinates of all 4 atoms:
Mo 0.500 0.500 0.250
Pt 0.500 0.500 0.750
Ru 0.000 0.000 0.006
Ru 0.000 0.000 0.494

Fermi-level density of states = 5.24 states/eV/f.u.
Space group = P4/mmm


Of them, the most stable is *1* and the least stable is *2*.


*1*
## Mo2Ru2Pt (PBE)

Data for a geometry-optimized Mo2Ru2Pt structure.

a b c (Å): 7.469 7.469 2.815
angles (deg): 90.00 90.00 90.00
Fractional coordinates of all 10 atoms:
Ru 0.165 0.665 0.500
Ru 0.665 0.835 0.500
Ru 0.835 0.335 0.500
Ru 0.335 0.165 0.500
Mo 0.370 0.870 0.000
Mo 0.870 0.630 0.000
Mo 0.630 0.130 0.000
Mo 0.130 0.370 0.000
Pt 0.000 0.000 0.000
Pt 0.500 0.500 0.000

Fermi-level density of states = 3.90 states/eV/f.u.
Space group = P4/mbm


*2*
## Mo2Ru2Pt (PBE)

Data for a geometry-optimized Mo2Ru2Pt structure.

a b c (Å): 2.793 2.755 10.078
angles (deg): 82.15 90.00 90.00
Fractional coordinates of all 5 atoms:
Mo 0.500 0.397 0.207
Mo 0.500 0.603 0.793
Ru 0.000 0.194 0.612
Ru 0.000 0.806 0.388
Pt 0.000 0.000 0.000

Fermi-level density of states = 7.10 states/eV/f.u.
Space group = Cmmm


*3*
## Mo2Ru2Pt (PBE)

Data for a geometry-optimized Mo2Ru2Pt structure.

a b c (Å): 7.324 7.324 2.889
angles (deg): 90.00 90.00 90.00
Fractional coordinates of all 10 atoms:
Ru 0.369 0.869 0.000
Ru 0.869 0.631 0.000
Ru 0.631 0.131 0.000
Ru 0.131 0.369 0.000
Mo 0.168 0.668 0.500
Mo 0.668 0.832 0.500
Mo 0.832 0.332 0.500
Mo 0.332 0.168 0.500
Pt 0.000 0.000 0.000
Pt 0.500 0.500 0.000

Fermi-level density of states = 3.20 states/eV/f.u.
Space group = P4/mbm


Of them, the most stable is *3* and the least stable is *1*.


*1*
## Mo2RuPt2 (PBE)

Data for a geometry-optimized Mo2RuPt2 structure.

a b c (Å): 4.190 5.476 7.067
angles (deg): 90.00 107.24 90.00
Fractional coordinates of all 10 atoms:
Mo 0.394 0.369 0.788
Mo 0.805 0.129 0.611
Mo 0.195 0.629 0.389
Mo 0.606 0.869 0.212
Ru 0.391 0.888 0.782
Ru 0.609 0.388 0.218
Pt 0.003 0.619 0.007
Pt 0.804 0.629 0.609
Pt 0.196 0.129 0.391
Pt 0.997 0.119 0.993

Fermi-level density of states = 5.09 states/eV/f.u.
Space group = Cmc2_1


*2*
## Mo2RuPt2 (PBE)

Data for a geometry-optimized Mo2RuPt2 structure.

a b c (Å): 3.919 4.813 4.833
angles (deg): 80.49 66.11 65.98
Fractional coordinates of all 5 atoms:
Mo 0.792 0.104 0.812
Mo 0.208 0.896 0.188
Ru 0.000 0.500 0.000
Pt 0.404 0.300 0.392
Pt 0.596 0.700 0.608

Fermi-level density of states = 3.65 states/eV/f.u.
Space group = C2/m


Of them, the most stable is *2* and the least stable is *1*.